Material: TaIrCl2
Method: DFT, GGA-PBE
State: optimized geometry

Calculated values
The total energy is -5.7337 eV/atom. Its energy above the lowest structure with this stoichiometry is 0.935 eV per atom. The crystal system is orthorhombic. The value obtained for the density of states at the Fermi level is 2.956 states/eV per cell. The space group is Cmmm (65). Its formation energy (no corrections) is 0.3680 eV per atom.

Structure (CIF):
```
data_TaIrCl2
_chemical_formula_sum 'Ta1 Ir1 Cl2'
_symmetry_space_group_name_H-M 'P 1'
_symmetry_Int_Tables_number 1
_symmetry_space_group_name_Hall 'P 1'
_cell_length_a 4.3587
_cell_length_b 4.0383
_cell_length_c 4.0347
_cell_angle_alpha 88.84
_cell_angle_beta 90.00
_cell_angle_gamma 90.00
loop_
_atom_site_label
_atom_site_type_symbol
_atom_site_fract_x
_atom_site_fract_y
_atom_site_fract_z
_atom_site_occupancy
Cl1 Cl 0.0000 0.9847 0.9846 1
Cl2 Cl 0.0000 0.5153 0.5154 1
Ir1 Ir 0.5000 0.2500 0.2500 1
Ta1 Ta 0.5000 0.7500 0.7500 1
```